# 1
DFT (GGA-PBE) results for a relaxed structure of LiAc3Tb3Te8.

Summary:
**Calculated volume**: 35.03 Å³/atom
**Raw formation energy**: -1401 meV per atom
**Density of states at the Fermi level**: 4.6 states/eV/f.u.
**Energy**: -222.85 eV/cell

Unit cell a=8.9954 b=8.9954 c=22.4965 alpha=90.00 beta=90.00 gamma=120.00
Space group R-3m (No. 166, hexagonal axes)
Symmetry-distinct sites (fractional):
Li 0.0000 0.0000 0.0000 [3 per cell]
Ac 0.0000 0.5000 0.5000 [9 per cell]
Tb 0.0000 0.5000 0.0000 [9 per cell]
Te 0.0000 0.0000 0.2581 [6 per cell]
Te 0.0039 0.5019 0.2568 [18 per cell]

# 2
DFT (GGA-PBE) results for a relaxed structure of BaIn4Cu.

Summary:
**Calculated volume**: 29.06 Å³/atom
**Density of states at the Fermi level**: 2.9 states/eV/f.u.
**Energy**: -66.27 eV/cell
**Energy of formation from the pure elements**: 0.41 eV per formula unit

Unit cell a=8.868 b=8.868 c=8.868 alpha=90.00 beta=90.00 gamma=90.00
Space group F-43m (No. 216)
Symmetry-distinct sites (fractional):
Ba 0.000 0.000 0.000 [4 per cell]
In 0.125 0.125 0.375 [16 per cell]
Cu 0.250 0.250 0.750 [4 per cell]

- The lowest energy belongs to which entry?
  LiAc3Tb3Te8